{"formula": "Hf2CoO4", "functional": "GGA+U", "state": "optimized geometry", "lattice": [[4.6569, -4.3772, 0.0000], [-4.6569, 0.0000, -4.3772], [4.6569, 4.3772, 0.0000]], "species": ["Co", "Co", "Hf", "Hf", "Hf", "Hf", "O", "O", "O", "O", "O", "O", "O", "O"], "frac_coords": [[0.0000, 0.0000, 0.0000], [0.7500, 0.5000, 0.2500], [0.3750, 0.7500, 0.1250], [0.8750, 0.2500, 0.6250], [0.3750, 0.2500, 0.6250], [0.3750, 0.7500, 0.6250], [0.6010, 0.7619, 0.3628], [0.6372, 0.2381, 0.3990], [0.1609, 0.7619, 0.3991], [0.1490, 0.2619, 0.4109], [0.6010, 0.2381, 0.8391], [0.1128, 0.2619, 0.8510], [0.5891, 0.7381, 0.8510], [0.1490, 0.7381, 0.8872]], "e_tot_ev_per_atom": -8.80, "sg": "No. 141", "magnetic_moment_mub_per_atom": 0.301}